Record 1
! La3YH meta-GGA SCAN single point on PBEsol structure; values from VASP
&SYSTEM
  ibrav = 0, nat = 5, ntyp = 3
/
ATOMIC_SPECIES
La 138.91 La.upf
Y 88.91 Y.upf
H 1.01 H.upf
ATOMIC_POSITIONS crystal
La 0.0000 0.5000 0.0000
La 0.5000 0.0000 0.0000
La 0.0000 0.0000 0.5000
Y 0.5000 0.5000 0.5000
H 0.0000 0.0000 0.0000
CELL_PARAMETERS angstrom
5.1419 0.0000 0.0000
0.0000 5.1419 0.0000
0.0000 0.0000 5.1419
! Uncorrected energy ... -32.311 eV per atom
! SG ... No. 221

Record 2
! Ga3SnPb meta-GGA SCAN single point on PBEsol structure; values from VASP
&SYSTEM
  ibrav = 0, nat = 5, ntyp = 3
/
ATOMIC_SPECIES
Ga 69.72 Ga.upf
Sn 118.71 Sn.upf
Pb 207.20 Pb.upf
ATOMIC_POSITIONS crystal
Ga 0.0000 0.5000 0.0000
Ga 0.0000 0.0000 0.5000
Ga 0.5000 0.0000 0.0000
Sn 0.0000 0.0000 0.0000
Pb 0.5000 0.5000 0.5000
CELL_PARAMETERS angstrom
5.1867 0.0000 0.0000
0.0000 5.1867 0.0000
0.0000 0.0000 5.1867
! Uncorrected energy ... -31.573 eV per atom
! SG ... No. 221

Record 3
! LaYW2 meta-GGA SCAN single point on PBEsol structure; values from VASP
&SYSTEM
  ibrav = 0, nat = 4, ntyp = 3
/
ATOMIC_SPECIES
W 183.84 W.upf
La 138.91 La.upf
Y 88.91 Y.upf
ATOMIC_POSITIONS crystal
W 0.0000 0.0000 0.7422
W 0.0000 0.0000 0.2578
La 0.5000 0.5000 0.0000
Y 0.5000 0.5000 0.5000
CELL_PARAMETERS angstrom
2.9151 -0.0259 0.0000
-0.9355 2.7610 0.0000
0.0000 0.0000 10.1788
! Distance to the lowest polymorph of the same formula ... 1.45 eV per formula unit
! Uncorrected energy ... -51.641 eV per atom
! SG ... No. 65

Record 4
! SrCa2Cu2 meta-GGA SCAN single point on PBEsol structure; values from VASP
&SYSTEM
  ibrav = 0, nat = 10, ntyp = 3
/
ATOMIC_SPECIES
Sr 87.62 Sr.upf
Cu 63.55 Cu.upf
Ca 40.08 Ca.upf
ATOMIC_POSITIONS crystal
Sr 0.0000 0.0000 0.0000
Sr 0.0000 0.5000 0.5000
Cu 0.0000 0.3897 0.8897
Cu 0.0000 0.6103 0.1103
Cu 0.0000 0.8897 0.6103
Cu 0.0000 0.1103 0.3897
Ca 0.5000 0.6627 0.8373
Ca 0.5000 0.3373 0.1627
Ca 0.5000 0.8373 0.3373
Ca 0.5000 0.1627 0.6627
CELL_PARAMETERS angstrom
4.3280 0.0000 0.0000
0.0000 7.8421 0.0000
0.0000 0.0000 7.8421
! Distance to the lowest polymorph of the same formula ... 0.00 eV per formula unit
! Uncorrected energy ... -14.426 eV per atom
! SG ... No. 127

Record 5
! KPtI2 meta-GGA SCAN single point on PBEsol structure; values from VASP
&SYSTEM
  ibrav = 0, nat = 8, ntyp = 3
/
ATOMIC_SPECIES
K 39.10 K.upf
I 126.90 I.upf
Pt 195.08 Pt.upf
ATOMIC_POSITIONS crystal
K 0.5000 0.5000 0.0000
K 0.7500 0.2500 0.5000
I 0.2706 0.8750 0.2500
I 0.9794 0.3750 0.2500
I 0.1250 0.0206 0.7500
I 0.6250 0.7294 0.7500
Pt 0.2500 0.7500 0.5000
Pt 0.0000 0.0000 0.0000
CELL_PARAMETERS angstrom
6.7172 0.0000 0.0000
0.0000 6.7172 0.0000
-3.3586 -3.3586 7.2323
! E_form (uncorrected) ... -0.40 eV/atom
! Uncorrected energy ... -38.398 eV per atom
! SG ... No. 122

Record 6
! MgTl4 meta-GGA SCAN single point on PBEsol structure; values from VASP
&SYSTEM
  ibrav = 0, nat = 5, ntyp = 2
/
ATOMIC_SPECIES
Tl 204.38 Tl.upf
Mg 24.30 Mg.upf
ATOMIC_POSITIONS crystal
Tl 0.6084 0.1904 0.5929
Tl 0.3916 0.8096 0.4071
Tl 0.7988 0.5929 0.8096
Tl 0.2012 0.4071 0.1904
Mg 0.0000 0.0000 0.0000
CELL_PARAMETERS angstrom
4.9096 0.0000 0.0000
2.4548 5.2156 0.0000
2.4548 0.0000 5.2156
! Distance to the lowest polymorph of the same formula ... 0.14 eV per formula unit
! Uncorrected energy ... -58.866 eV per atom
! SG ... No. 87

Record 7
! CaGe3Pd meta-GGA SCAN single point on PBEsol structure; values from VASP
&SYSTEM
  ibrav = 0, nat = 5, ntyp = 3
/
ATOMIC_SPECIES
Ge 72.64 Ge.upf
Ca 40.08 Ca.upf
Pd 106.42 Pd.upf
ATOMIC_POSITIONS crystal
Ge 0.5000 0.0000 0.0000
Ge 0.0000 0.0000 0.5000
Ge 0.0000 0.5000 0.0000
Ca 0.0000 0.0000 0.0000
Pd 0.5000 0.5000 0.5000
CELL_PARAMETERS angstrom
5.1033 0.0000 0.0000
0.0000 5.1033 0.0000
0.0000 0.0000 5.1033
! Uncorrected energy ... -18.540 eV per atom
! SG ... No. 221

Record 8
! CaLaMoPd2 meta-GGA SCAN single point on PBEsol structure; values from VASP
&SYSTEM
  ibrav = 0, nat = 5, ntyp = 4
/
ATOMIC_SPECIES
Pd 106.42 Pd.upf
Ca 40.08 Ca.upf
Mo 95.94 Mo.upf
La 138.91 La.upf
ATOMIC_POSITIONS crystal
Pd 0.0000 0.0000 0.5000
Pd 0.0000 0.5000 0.0000
Ca 0.5000 0.0000 0.0000
Mo 0.0000 0.0000 0.0000
La 0.5000 0.5000 0.5000
CELL_PARAMETERS angstrom
-2.6463 3.7455 -1.7162
-3.5767 -1.0676 3.1852
2.0622 2.9749 3.3128
! Distance to the lowest polymorph of the same formula ... 0.00 eV per formula unit
! Uncorrected energy ... -30.237 eV per atom
! SG ... No. 123

Record 9
! Cs2NaBiCl6 meta-GGA SCAN single point on PBEsol structure; values from VASP
&SYSTEM
  ibrav = 0, nat = 10, ntyp = 4
/
ATOMIC_SPECIES
Bi 208.98 Bi.upf
Cl 35.45 Cl.upf
Na 22.99 Na.upf
Cs 132.91 Cs.upf
ATOMIC_POSITIONS crystal
Bi 0.0000 0.0000 0.0000
Cl 0.2484 0.7516 0.2484
Cl 0.7516 0.2484 0.2484
Cl 0.2484 0.2484 0.7516
Cl 0.2484 0.7516 0.7516
Cl 0.7516 0.7516 0.2484
Cl 0.7516 0.2484 0.7516
Na 0.5000 0.5000 0.5000
Cs 0.2500 0.2500 0.2500
Cs 0.7500 0.7500 0.7500
CELL_PARAMETERS angstrom
7.6402 0.0000 0.0000
3.8201 6.6166 0.0000
3.8201 2.2055 6.2382
! E_form (uncorrected) ... -1.77 eV/atom
! Uncorrected energy ... -22.394 eV per atom
! SG ... No. 225

Record 10
! In2PW meta-GGA SCAN single point on PBEsol structure; values from VASP
&SYSTEM
  ibrav = 0, nat = 4, ntyp = 3
/
ATOMIC_SPECIES
In 114.82 In.upf
P 30.97 P.upf
W 183.84 W.upf
ATOMIC_POSITIONS crystal
In 0.0000 0.0000 0.0332
In 0.5000 0.5000 0.7393
P 0.0000 0.0000 0.4499
W 0.5000 0.5000 0.2776
CELL_PARAMETERS angstrom
2.9538 0.0231 0.0000
-1.1007 2.7412 0.0000
0.0000 0.0000 9.7824
! Uncorrected energy ... -36.351 eV per atom
! SG ... No. 35

Record 11
! TiMnP2O8 meta-GGA SCAN single point on PBEsol structure; values from VASP
&SYSTEM
  ibrav = 0, nat = 24, ntyp = 4
/
ATOMIC_SPECIES
O 16.00 O.upf
Ti 47.87 Ti.upf
P 30.97 P.upf
Mn 54.94 Mn.upf
ATOMIC_POSITIONS crystal
O 0.7328 0.4482 0.6745
O 0.6478 0.2500 0.9451
O 0.8117 0.7500 0.3558
O 0.8568 0.2500 0.4521
O 0.7020 0.0437 0.1678
O 0.7409 0.7500 0.8933
O 0.3522 0.7500 0.0549
O 0.7020 0.4563 0.1678
O 0.2591 0.2500 0.1067
O 0.2980 0.5437 0.8322
O 0.7328 0.0518 0.6745
O 0.2672 0.9482 0.3255
O 0.2672 0.5518 0.3255
O 0.1883 0.2500 0.6442
O 0.2980 0.9563 0.8322
O 0.1432 0.7500 0.5479
Ti 0.4642 0.2500 0.7768
Ti 0.5358 0.7500 0.2232
P 0.5639 0.2500 0.0950
P 0.8874 0.2500 0.6019
P 0.4361 0.7500 0.9050
P 0.1126 0.7500 0.3981
Mn 0.9613 0.7500 0.7267
Mn 0.0387 0.2500 0.2733
CELL_PARAMETERS angstrom
-3.5164 -2.5279 2.3467
-2.2623 -1.6839 -5.2038
5.8652 -8.0517 0.0555
! Distance to the lowest polymorph of the same formula ... 0.14 eV per formula unit
! E_form (uncorrected) ... -2.65 eV/atom
! Uncorrected energy ... -11.398 eV per atom
! SG ... No. 11

Record 12
! LuIn3 meta-GGA SCAN single point on PBEsol structure; values from VASP
&SYSTEM
  ibrav = 0, nat = 4, ntyp = 2
/
ATOMIC_SPECIES
In 114.82 In.upf
Lu 174.97 Lu.upf
ATOMIC_POSITIONS crystal
In 0.0000 0.5000 0.5000
In 0.5000 0.0000 0.5000
In 0.5000 0.5000 0.0000
Lu 0.0000 0.0000 0.0000
CELL_PARAMETERS angstrom
-0.7768 1.1470 -4.2977
1.8448 -3.8868 -1.3708
-4.0476 -1.9916 0.2001
! Uncorrected energy ... -39.317 eV per atom
! SG ... No. 221